## i
A relaxed HgBiP2Cl crystal, computed with PBE.

Cell and atoms, written as POSCAR:
```
HgBiP2Cl
1.0
5.0235 0.0000 0.0000
0.0000 5.0235 0.0000
0.0000 0.0000 5.0983
Hg Bi P Cl
1 1 2 1
Direct
0.0000 0.0000 0.0000
0.5000 0.5000 0.5000
0.0000 0.5000 0.0000
0.5000 0.0000 0.0000
0.0000 0.0000 0.5000
```

Space group: P4/mmm (123)
Fermi-level density of states, states/eV per cell: 3.77

=====

## ii
A relaxed HgBiP2Cl crystal, computed with PBE.

Cell and atoms, written as POSCAR:
```
HgBiP2Cl
1.0
5.4841 0.0000 0.0000
0.0000 5.4841 0.0000
0.0000 0.0000 5.4943
Hg Bi P Cl
1 1 2 1
Direct
0.0000 0.0000 0.0000
0.5000 0.5000 0.5000
0.0000 0.5000 0.5000
0.5000 0.0000 0.5000
0.5000 0.5000 0.0000
```

Space group: P4/mmm (123)
Fermi-level density of states, states/eV per cell: 3.63

=====

Short version: ii is the most stable of them.

=====

## i
A relaxed BiICl3 crystal, computed with PBE.

Cell and atoms, written as POSCAR:
```
BiICl3
1.0
5.4789 0.0000 0.0000
0.0000 5.4789 0.0000
0.0000 0.0000 5.4789
Bi I Cl
1 1 3
Direct
0.0000 0.0000 0.0000
0.5000 0.5000 0.5000
0.0000 0.0000 0.5000
0.0000 0.5000 0.0000
0.5000 0.0000 0.0000
```

Space group: Pm-3m (221)
Fermi-level density of states, states/eV per cell: 9.98

=====

## ii
A relaxed BiICl3 crystal, computed with PBE.

Cell and atoms, written as POSCAR:
```
BiICl3
1.0
6.0317 0.0000 0.0000
0.0640 7.8599 0.0000
0.8912 -0.0027 7.8726
Bi I Cl
2 2 6
Direct
0.0000 0.0000 0.0000
0.4997 0.0162 0.4999
0.4577 0.7151 0.7709
0.9508 0.3008 0.2713
0.1866 0.8712 0.3790
0.2144 0.1893 0.7083
0.4468 0.2887 0.2900
0.6840 0.1450 0.8788
0.7178 0.8270 0.2079
0.9535 0.7273 0.7899
```

Space group: P1 (1)
Fermi-level density of states, states/eV per cell: 2.72

=====

## iii
A relaxed BiICl3 crystal, computed with PBE.

Cell and atoms, written as POSCAR:
```
BiICl3
1.0
5.5920 0.0000 0.0000
0.0000 5.5920 0.0000
0.0000 0.0000 5.5920
Bi I Cl
1 1 3
Direct
0.0000 0.0000 0.0000
0.5000 0.5000 0.5000
0.0000 0.5000 0.5000
0.5000 0.0000 0.5000
0.5000 0.5000 0.0000
```

Space group: Pm-3m (221)
Fermi-level density of states, states/eV per cell: 7.41

=====

Short version: ii is the most stable of them.

=====

## i
A relaxed Bi2ICl crystal, computed with PBE.

Cell and atoms, written as POSCAR:
```
Bi2ICl
1.0
7.8100 0.0000 0.0000
0.0000 7.8100 0.0000
0.0000 0.0000 7.8100
Bi I Cl
8 4 4
Direct
0.2500 0.2500 0.2500
0.2500 0.2500 0.7500
0.2500 0.7500 0.2500
0.2500 0.7500 0.7500
0.7500 0.2500 0.2500
0.7500 0.2500 0.7500
0.7500 0.7500 0.2500
0.7500 0.7500 0.7500
0.0000 0.0000 0.0000
0.0000 0.5000 0.5000
0.5000 0.0000 0.5000
0.5000 0.5000 0.0000
0.0000 0.0000 0.5000
0.0000 0.5000 0.0000
0.5000 0.0000 0.0000
0.5000 0.5000 0.5000
```

Space group: Fm-3m (225)
Fermi-level density of states, states/eV per cell: 13.56

=====

## ii
A relaxed Bi2ICl crystal, computed with PBE.

Cell and atoms, written as POSCAR:
```
Bi2ICl
1.0
8.7400 0.0000 0.0000
0.0000 8.7400 0.0000
0.0000 0.0000 6.8686
Bi I Cl
8 4 4
Direct
0.2369 0.2500 0.1250
0.2500 0.7369 0.3750
0.2500 0.7631 0.8750
0.2631 0.2500 0.6250
0.7369 0.7500 0.6250
0.7500 0.2369 0.8750
0.7500 0.2631 0.3750
0.7631 0.7500 0.1250
0.0000 0.0000 0.5000
0.0000 0.5000 0.7500
0.5000 0.0000 0.2500
0.5000 0.5000 0.0000
0.0000 0.0000 0.0000
0.0000 0.5000 0.2500
0.5000 0.0000 0.7500
0.5000 0.5000 0.5000
```

Space group: I-42d (122)
Fermi-level density of states, states/eV per cell: 11.97

=====

Short version: ii is the most stable of them.

=====

## i
A relaxed BiIClO2 crystal, computed with PBE.

Cell and atoms, written as POSCAR:
```
BiIClO2
1.0
4.4934 0.0000 0.0000
0.0000 4.4934 0.0000
0.0000 0.0000 5.0152
Bi I Cl O
1 1 1 2
Direct
0.0000 0.0000 0.0000
0.5000 0.5000 0.0000
0.5000 0.5000 0.5000
0.0000 0.5000 0.5000
0.5000 0.0000 0.5000
```

Space group: P4/mmm (123)
Fermi-level density of states, states/eV per cell: 3.32

=====

## ii
A relaxed BiIClO2 crystal, computed with PBE.

Cell and atoms, written as POSCAR:
```
BiIClO2
1.0
4.2318 0.0000 0.0000
0.0000 4.2318 0.0000
0.0000 0.0000 7.0583
Bi I Cl O
1 1 1 2
Direct
0.0000 0.0000 0.0000
0.0000 0.0000 0.5000
0.5000 0.5000 0.5000
0.0000 0.5000 0.0000
0.5000 0.0000 0.0000
```

Space group: P4/mmm (123)
Fermi-level density of states, states/eV per cell: 2.86

=====

Short version: ii is the most stable of them.

=====

## i
A relaxed BiP2ICl crystal, computed with PBE.

Cell and atoms, written as POSCAR:
```
BiP2ICl
1.0
5.5516 0.0000 0.0000
0.0000 5.5516 0.0000
0.0000 0.0000 5.3112
Bi P I Cl
1 2 1 1
Direct
0.0000 0.0000 0.0000
0.0000 0.5000 0.0000
0.5000 0.0000 0.0000
0.5000 0.5000 0.5000
0.0000 0.0000 0.5000
```

Space group: P4/mmm (123)
Fermi-level density of states, states/eV per cell: 5.33

=====

## ii
A relaxed BiP2ICl crystal, computed with PBE.

Cell and atoms, written as POSCAR:
```
BiP2ICl
1.0
5.2377 0.0000 0.0000
0.0000 5.2377 0.0000
0.0000 0.0000 5.1238
Bi P I Cl
1 2 1 1
Direct
0.0000 0.0000 0.0000
0.0000 0.5000 0.5000
0.5000 0.0000 0.5000
0.5000 0.5000 0.5000
0.5000 0.5000 0.0000
```

Space group: P4/mmm (123)
Fermi-level density of states, states/eV per cell: 2.70

=====

Short version: i is the most stable of them.

=====

## i
A relaxed BiPICl2 crystal, computed with PBE.

Cell and atoms, written as POSCAR:
```
BiPICl2
1.0
5.2549 0.0000 0.0000
0.0000 5.2549 0.0000
0.0000 0.0000 6.0630
Bi P I Cl
1 1 1 2
Direct
0.0000 0.0000 0.0000
0.0000 0.0000 0.5000
0.5000 0.5000 0.5000
0.0000 0.5000 0.0000
0.5000 0.0000 0.0000
```

Space group: P4/mmm (123)
Fermi-level density of states, states/eV per cell: 1.42

=====

## ii
A relaxed BiPICl2 crystal, computed with PBE.

Cell and atoms, written as POSCAR:
```
BiPICl2
1.0
5.3180 0.0000 0.0000
0.0000 5.3180 0.0000
0.0000 0.0000 5.5108
Bi P I Cl
1 1 1 2
Direct
0.0000 0.0000 0.0000
0.5000 0.5000 0.0000
0.5000 0.5000 0.5000
0.0000 0.5000 0.5000
0.5000 0.0000 0.5000
```

Space group: P4/mmm (123)
Fermi-level density of states, states/eV per cell: 4.11

=====

Short version: i is the most stable of them.

=====

## i
A relaxed In2BiCl5 crystal, computed with PBE.

Cell and atoms, written as POSCAR:
```
In2BiCl5
1.0
5.6902 0.0000 0.0000
2.8390 7.0070 0.0000
2.7450 2.4456 7.9097
In Bi Cl
2 1 5
Direct
0.0000 0.0000 0.0000
0.3917 0.6917 0.5401
0.1833 0.3456 0.2708
0.1626 0.1004 0.5925
0.2287 0.5908 0.9491
0.4136 0.0160 0.1598
0.7192 0.3455 0.2707
0.9772 0.6751 0.3818
```

Space group: P1 (1)
Fermi-level density of states, states/eV per cell: 0.00

=====

## ii
A relaxed In2BiCl5 crystal, computed with PBE.

Cell and atoms, written as POSCAR:
```
In2BiCl5
1.0
12.2495 0.0000 0.0000
0.0000 8.1131 0.0000
-5.2102 0.0000 6.0762
In Bi Cl
4 2 10
Direct
0.0000 0.0000 0.0000
0.0341 0.5000 0.6467
0.5000 0.5000 0.0000
0.5341 0.0000 0.6467
0.3328 0.5000 0.3260
0.8328 0.0000 0.3260
0.0644 0.5000 0.0666
0.3278 0.2736 0.0787
0.3278 0.7264 0.0787
0.3406 0.2658 0.5853
0.3406 0.7342 0.5853
0.5644 0.0000 0.0666
0.8278 0.2264 0.0787
0.8278 0.7736 0.0787
0.8406 0.2342 0.5853
0.8406 0.7658 0.5853
```

Space group: Cm (8)
Fermi-level density of states, states/eV per cell: 0.00

=====

Short version: i is the most stable of them.

=====

## i
A relaxed In2BiCl crystal, computed with PBE.

Cell and atoms, written as POSCAR:
```
In2BiCl
1.0
5.6568 0.0000 0.0000
0.0000 5.6568 0.0000
0.0000 0.0000 3.5629
In Bi Cl
2 1 1
Direct
0.0000 0.5000 0.0000
0.5000 0.0000 0.0000
0.0000 0.0000 0.5000
0.5000 0.5000 0.5000
```

Space group: P4/mmm (123)
Fermi-level density of states, states/eV per cell: 1.73

=====

## ii
A relaxed In2BiCl crystal, computed with PBE.

Cell and atoms, written as POSCAR:
```
In2BiCl
1.0
4.6828 0.0000 0.0000
-2.3414 4.0554 0.0000
0.0000 0.0000 20.4642
In Bi Cl
6 3 3
Direct
0.0000 0.0000 0.2417
0.0000 0.0000 0.7583
0.3333 0.6667 0.4250
0.3333 0.6667 0.9084
0.6667 0.3333 0.0916
0.6667 0.3333 0.5750
0.0000 0.0000 0.5000
0.3333 0.6667 0.1667
0.6667 0.3333 0.8333
0.0000 0.0000 0.0000
0.3333 0.6667 0.6667
0.6667 0.3333 0.3333
```

Space group: R-3m (166)
Fermi-level density of states, states/eV per cell: 5.94

=====

Short version: i is the most stable of them.